(1)
DFT (PBE) results for an optimized crystal structure of SmCdNi.

Its energy relative to the elements is -1.05 eV/f.u. For the density of states at the Fermi level, the calculation gives 0.803 states/eV per atom. Its magnetic moment is 0.00 μB/f.u. The calculation puts the density at 8.4 g/cm3.

It has space group Pmma (No. 51), with a = 12.8245 Å, b = 3.9373 Å, c = 7.5622 Å, α = 90.00°, β = 90.00° and γ = 90.00°. The distinct sites, in fractional coordinates, are Sm at (0.0449, 0.0000, 0.2317), Sm at (0.2500, 0.0000, 0.8512), Cd at (0.1233, 0.5000, 0.5690), Cd at (0.2500, 0.5000, 0.1966), Ni at (0.0889, 0.5000, 0.9425) and Ni at (0.2500, 0.0000, 0.4397).

=====

(2)
DFT (PBE) results for an optimized crystal structure of BaScCl2.

For the energy above the most stable polymorph in this dataset, the calculation gives 0.344 eV/atom. For the density of states at the Fermi level, the calculation gives 0.890 states/eV per atom. Its magnetic moment is 2.66 μB/f.u. The calculation puts the density at 3.8 g/cm3.

It has space group Fm-3m (No. 225), with a = 7.6450 Å, b = 7.6450 Å, c = 7.6450 Å, α = 90.00°, β = 90.00° and γ = 90.00°. The distinct sites, in fractional coordinates, are Ba at (0.0000, 0.0000, 0.0000), Sc at (0.0000, 0.0000, 0.5000) and Cl at (0.2500, 0.2500, 0.2500).

=====

(3)
DFT (PBE) results for an optimized crystal structure of K3Rh5F12.

Its calculated total energy is -730.2 eV/cell. For the density of states at the Fermi level, the calculation gives 0.571 states/eV per atom. Its magnetic moment is 6.00 μB/f.u. The calculation puts the density at 4.1 g/cm3.

It has space group Ia-3d (No. 230), with a = 14.0352 Å, b = 14.0352 Å, c = 14.0352 Å, α = 90.00°, β = 90.00° and γ = 90.00°. The distinct sites, in fractional coordinates, are K at (0.0000, 0.2500, 0.1250), Rh at (0.0000, 0.0000, 0.0000), Rh at (0.0000, 0.2500, 0.3750) and F at (0.0303, 0.0512, 0.6372).

=====

(4)
DFT (PBE) results for an optimized crystal structure of La2PmSe3.

For the energy above the most stable polymorph in this dataset, the calculation gives 0.005 eV/atom. For the density of states at the Fermi level, the calculation gives 0.599 states/eV per atom. Its magnetic moment is 0.00 μB/f.u. The calculation puts the density at 6.6 g/cm3.

It has space group Immm (No. 71), with a = 4.2773 Å, b = 6.0478 Å, c = 12.8152 Å, α = 90.00°, β = 90.00° and γ = 90.00°. The distinct sites, in fractional coordinates, are La at (0.0000, 0.0000, 0.1672), Pm at (0.0000, 0.0000, 0.5000), Se at (0.0000, 0.5000, 0.1628) and Se at (0.0000, 0.5000, 0.5000).

=====

(5)
DFT (PBE) results for an optimized crystal structure of Cs3CdIn4.

Its energy relative to the elements is -0.49 eV/f.u. For the density of states at the Fermi level, the calculation gives 0.858 states/eV per atom. Its magnetic moment is 0.00 μB/f.u. The calculation puts the density at 4.3 g/cm3.

It has space group Pmmn (No. 59, origin choice 2), with a = 6.6603 Å, b = 15.5135 Å, c = 7.2076 Å, α = 90.00°, β = 90.00° and γ = 90.00°. The distinct sites, in fractional coordinates, are Cs at (0.2500, 0.0075, 0.2094), Cs at (0.2500, 0.7500, 0.5086), Cd at (0.2500, 0.2500, 0.3264), In at (0.0182, 0.7500, 0.0132) and In at (0.2500, 0.1478, 0.7002).

=====

(6)
DFT (PBE) results for an optimized crystal structure of Re2Ni2Os.

Its energy relative to the elements is 3.79 eV/f.u. For the energy above the most stable polymorph in this dataset, the calculation gives 0.502 eV/atom. For the density of states at the Fermi level, the calculation gives 0.755 states/eV per atom. Its magnetic moment is 0.61 μB/f.u. The calculation puts the density at 15.8 g/cm3.

It has space group I4/mmm (No. 139), with a = 3.7750 Å, b = 3.7750 Å, c = 10.0472 Å, α = 90.00°, β = 90.00° and γ = 90.00°. The distinct sites, in fractional coordinates, are Re at (0.0000, 0.5000, 0.2500), Ni at (0.0000, 0.0000, 0.1033) and Os at (0.0000, 0.0000, 0.5000).

=====

(7)
DFT (PBE) results for an optimized crystal structure of Y10Er4Pu.

Its energy relative to the elements is 5.93 eV/f.u. For the density of states at the Fermi level, the calculation gives 2.085 states/eV per atom. Its magnetic moment is 5.93 μB/f.u. The calculation puts the density at 6.1 g/cm3.

It has space group I4/m (No. 87), with a = 9.7347 Å, b = 9.7347 Å, c = 10.4031 Å, α = 90.00°, β = 90.00° and γ = 90.00°. The distinct sites, in fractional coordinates, are Y at (0.0000, 0.5000, 0.2500), Y at (0.1136, 0.7876, 0.1605), Er at (0.0671, 0.6714, 0.5000) and Pu at (0.0000, 0.0000, 0.5000).

=====

(8)
DFT (PBE) results for an optimized crystal structure of La3Ga3Hg.

Its energy relative to the elements is -4.04 eV/f.u. For the density of states at the Fermi level, the calculation gives 0.891 states/eV per atom. Its magnetic moment is 0.49 μB/f.u. The calculation puts the density at 7.3 g/cm3.

It has space group C2/m (No. 12), with a = 11.3398 Å, b = 4.6787 Å, c = 15.1657 Å, α = 90.00°, β = 110.95° and γ = 90.00°. The distinct sites, in fractional coordinates, are La at (0.0356, 0.0000, 0.3793), La at (0.1075, 0.0000, 0.9268), La at (0.2383, 0.0000, 0.2210), Ga at (0.0273, 0.5000, 0.2244), Ga at (0.1030, 0.5000, 0.0761), Ga at (0.1241, 0.5000, 0.5411) and Hg at (0.2452, 0.5000, 0.3913).

=====

Question: What is the magnetic moment in the eighth record?
Answer: 0.49 μB/f.u.

=====

Question: What is the formula in the second record?
Answer: BaScCl2